Entry from Alexandria: Li2CdAgH after structural relaxation (PBE-GGA).

Cell and atoms, written as extended XYZ:
```
5
Lattice="4.341 0.000 0.000 0.000 4.341 0.000 0.000 0.000 3.773" Properties=species:S:1:pos:R:3 pbc="T T T"
Li 0.000 2.171 0.000
Li 2.171 0.000 0.000
Cd 0.000 0.000 1.887
Ag 2.171 2.171 1.887
H 2.171 2.171 0.000
```

ΔE to the lowest computed polymorph (kJ/mol of formula units): 0.0
Size of the total moment (μB per cell): 0.000